MgTi2ZnN after structural relaxation. Source: the Alexandria database, functional PBE.

Values from the calculation:
VASP energy: -0.2226 Ha/atom

a b c (Å): 4.1103 4.1103 4.2344
angles (deg): 90.00 90.00 90.00
Space group P4/mmm (No. 123)
One atom of each set of equivalent atoms:
Mg: 0.0000 0.0000 0.0000 (multiplicity 1)
Ti: 0.0000 0.5000 0.5000 (multiplicity 2)
Zn: 0.5000 0.5000 0.0000 (multiplicity 1)
N: 0.0000 0.0000 0.5000 (multiplicity 1)